## La8CeEr5 (PBE)

Data for a relaxed La8CeEr5 crystal.

Calculated values
crystal system = monoclinic
ΔE_f = 164 meV/atom
total magnetization = 0.00 μB/cell

a = 8.3089 Å, b = 8.3089 Å, c = 9.2486 Å
α = 119.25°, β = 119.25°, γ = 78.86°
Closest atoms and distances in Å follow each position.
Fractional coordinates of all 14 atoms:
La1 0.0514 0.0514 0.2215  3 La 3.28-3.48, 1 Ce 3.52, 1 Er 3.52
La2 0.1968 0.5453 0.5521  3 Er 3.35-3.74, 1 La 3.70
La3 0.2294 0.1906 0.7582  1 Ce 2.96, 1 Er 3.29
La4 0.4300 0.1677 0.2580  1 Ce 2.98, 1 La 3.28
La5 0.4547 0.8032 0.4479  3 Er 3.35-3.74, 1 La 3.70
La6 0.8094 0.7706 0.2418  1 Ce 2.96, 1 Er 3.29
La7 0.8323 0.5700 0.7420  1 Ce 2.98, 1 La 3.28
La8 0.9486 0.9486 0.7785  3 La 3.28-3.48, 1 Ce 3.52, 1 Er 3.52
Ce1 0.8320 0.1680 0.5000  4 La 2.96-2.98
Er1 0.0689 0.4226 0.0868  7 La 3.41-3.82, 1 Er 3.46
Er2 0.3336 0.6664 0.0000  6 La 3.35-3.66
Er3 0.5774 0.9311 0.9132  7 La 3.41-3.82, 1 Er 3.46
Er4 0.6034 0.3022 0.7812  2 La 3.29-3.43, 2 Er 3.41-3.46, 1 Ce 3.58
Er5 0.6978 0.3966 0.2188  2 La 3.29-3.43, 2 Er 3.41-3.46, 1 Ce 3.58